KMo2OsI | GGA-PBE | relaxed Values from VASP.

Quantum ESPRESSO input file:
```
&SYSTEM
  ibrav = 0, nat = 5, ntyp = 4
/
ATOMIC_SPECIES
K 39.10 K.upf
Mo 95.94 Mo.upf
Os 190.23 Os.upf
I 126.90 I.upf
ATOMIC_POSITIONS crystal
K 0.000 0.000 0.000
Mo 0.000 0.500 0.500
Mo 0.500 0.000 0.500
Os 0.000 0.000 0.500
I 0.500 0.500 0.000
CELL_PARAMETERS angstrom
4.796 0.000 0.000
0.000 4.796 0.000
0.000 0.000 6.745
```

Results
Total energy   -5.824 eV/atom
Crystal system   tetragonal
Space group   No. 123
Total moment   3.56 μB per cell
DOS at the Fermi energy   4.55 states/eV per cell
Energy relative to the elements, uncorrected   6.4 eV per formula unit